# TbPrErLu

A geometry-optimized TbPrErLu structure (PBE, Alexandria).

The formation energy is 0.103 eV/atom. The final energy is -0.166 hartree per atom.

Cell lengths 8.0227, 8.0227, 8.0227 Å; angles 90.00, 90.00, 90.00 degrees
Closest atoms and distances in Å follow each position.
Sites, in units of the cell vectors:
Tb 0.0000 0.0000 0.0000  4 Er 3.47, 4 Lu 3.47
Tb 0.0000 0.5000 0.5000  4 Er 3.47, 4 Lu 3.47
Tb 0.5000 0.0000 0.5000  4 Er 3.47, 4 Lu 3.47
Tb 0.5000 0.5000 0.0000  4 Er 3.47, 4 Lu 3.47
Pr 0.0000 0.0000 0.5000  4 Er 3.47, 4 Lu 3.47
Pr 0.0000 0.5000 0.0000  4 Er 3.47, 4 Lu 3.47
Pr 0.5000 0.0000 0.0000  4 Er 3.47, 4 Lu 3.47
Pr 0.5000 0.5000 0.5000  4 Er 3.47, 4 Lu 3.47
Er 0.2500 0.2500 0.2500  4 Tb 3.47, 4 Pr 3.47
Er 0.2500 0.7500 0.7500  4 Tb 3.47, 4 Pr 3.47
Er 0.7500 0.2500 0.7500  4 Tb 3.47, 4 Pr 3.47
Er 0.7500 0.7500 0.2500  4 Tb 3.47, 4 Pr 3.47
Lu 0.2500 0.2500 0.7500  4 Tb 3.47, 4 Pr 3.47
Lu 0.2500 0.7500 0.2500  4 Tb 3.47, 4 Pr 3.47
Lu 0.7500 0.2500 0.2500  4 Tb 3.47, 4 Pr 3.47
Lu 0.7500 0.7500 0.7500  4 Tb 3.47, 4 Pr 3.47